# 1
The following is a DFT calculation (PBE) of crystalline Ac8H3Ir3N at its relaxed geometry.

```
data_Ac8H3Ir3N
_chemical_formula_sum 'Ac24 H9 Ir9 N3'
_symmetry_space_group_name_H-M 'R -3 m'
_symmetry_Int_Tables_number 166
_symmetry_space_group_name_Hall '-R 3 2"'
_cell_length_a 8.5055
_cell_length_b 8.5055
_cell_length_c 19.9631
_cell_angle_alpha 90.00
_cell_angle_beta 90.00
_cell_angle_gamma 120.00
loop_
_atom_site_label
_atom_site_type_symbol
_atom_site_fract_x
_atom_site_fract_y
_atom_site_fract_z
Ac1 Ac 0.0000 0.0000 0.2489
Ac2 Ac 0.0189 0.5095 0.2451
H1 H 0.0000 0.5000 0.0000
Ir1 Ir 0.0000 0.5000 0.5000
N1 N 0.0000 0.0000 0.5000
```

- calculated total energy (eV per atom) = -5.7364

---

# 2
The following is a DFT calculation (PBE) of crystalline K2NiPt at its relaxed geometry.

```
data_K2NiPt
_chemical_formula_sum 'K4 Ni2 Pt2'
_symmetry_space_group_name_H-M 'C 1 m 1'
_symmetry_Int_Tables_number 8
_cell_length_a 7.2660
_cell_length_b 4.1963
_cell_length_c 9.5001
_cell_angle_alpha 90.00
_cell_angle_beta 103.08
_cell_angle_gamma 90.00
loop_
_symmetry_equiv_pos_as_xyz
'x,y,z'
'x,-y,z'
'x+1/2,y+1/2,z'
'x+1/2,-y+1/2,z'
loop_
_atom_site_label
_atom_site_type_symbol
_atom_site_fract_x
_atom_site_fract_y
_atom_site_fract_z
K1 K 0.0000 0.0000 0.0000
K2 K 0.1448 0.0000 0.4908
Ni1 Ni 0.2394 0.5000 0.2454
Pt1 Pt 0.4060 0.0000 0.2454
```

- relative energy among the computed polymorphs (eV per atom) = 0.000
- calculated total energy (eV per atom) = -3.4076
- calculated formation energy (eV/atom) = 0.097

---

# 3
The following is a DFT calculation (PBE) of crystalline LiEr3S4 at its relaxed geometry.

```
data_LiEr3S4
_chemical_formula_sum 'Li2 Er6 S8'
_symmetry_space_group_name_H-M 'C m m m'
_symmetry_Int_Tables_number 65
_symmetry_space_group_name_Hall '-C 2 2'
_cell_length_a 7.6985
_cell_length_b 10.8654
_cell_length_c 3.8386
_cell_angle_alpha 90.00
_cell_angle_beta 90.00
_cell_angle_gamma 90.00
loop_
_atom_site_label
_atom_site_type_symbol
_atom_site_fract_x
_atom_site_fract_y
_atom_site_fract_z
Li1 Li 0.0000 0.0000 0.0000
Er1 Er 0.0000 0.5000 0.0000
Er2 Er 0.2500 0.2500 0.5000
S1 S 0.0000 0.2460 0.0000
S2 S 0.2457 0.0000 0.5000
```

- E_form (uncorrected) (meV per atom) = -1925
- relative energy among the computed polymorphs (eV per atom) = 0.022
- calculated total energy (eV per atom) = -5.9387

---

# 4
The following is a DFT calculation (PBE) of crystalline HfP2SN at its relaxed geometry.

```
data_HfP2SN
_chemical_formula_sum 'Hf1 P2 S1 N1'
_symmetry_space_group_name_H-M 'P 4/m m m'
_symmetry_Int_Tables_number 123
_symmetry_space_group_name_Hall '-P 4 2'
_cell_length_a 4.0566
_cell_length_b 4.0566
_cell_length_c 4.2108
_cell_angle_alpha 90.00
_cell_angle_beta 90.00
_cell_angle_gamma 90.00
loop_
_atom_site_label
_atom_site_type_symbol
_atom_site_fract_x
_atom_site_fract_y
_atom_site_fract_z
Hf1 Hf 0.0000 0.0000 0.0000
P1 P 0.0000 0.5000 0.5000
S1 S 0.5000 0.5000 0.0000
N1 N 0.5000 0.5000 0.5000
```

- E_form (uncorrected) (meV per atom) = 301
- relative energy among the computed polymorphs (eV per atom) = 0.000
- calculated total energy (eV per atom) = -6.3437